Entry 1:
This record from Alexandria describes a geometry-optimized BaInNiPt2 structure. The functional is PBE.

Cell: 4.938 4.672 4.938 Å, 90.00 90.00 90.00°
Positions (direct):
Pt (0.000, 0.000, 0.500)
Pt (0.500, 0.000, 0.000)
Ba (0.500, 0.500, 0.500)
Ni (0.000, 0.000, 0.000)
In (0.000, 0.500, 0.000)

Properties
- Energy of formation from the pure elements: -0.45 eV/f.u.
- Symmetry: P4/mmm, No. 123
- Total moment: 0.00 μB per formula unit
- Crystal system: tetragonal

---

Entry 2:
This record from Alexandria describes a geometry-optimized RbBa2InNi structure. The functional is PBE.

Cell: 6.209 6.209 5.235 Å, 90.00 90.00 90.00°
Last column: magnetic moment on the atom in μB.
Positions (direct):
Rb (0.500, 0.500, 0.500)  0.03
Ba (0.500, 0.000, 0.000)  0.06
Ba (0.000, 0.500, 0.000)  0.06
In (0.000, 0.000, 0.500)  0.01
Ni (0.000, 0.000, 0.000)  -0.01

Properties
- Energy of formation from the pure elements: -0.09 eV/f.u.
- Symmetry: P4/mmm, No. 123
- Total moment: 0.71 μB per formula unit
- Crystal system: tetragonal

---

Entry 3:
This record from Alexandria describes a geometry-optimized Ba2In6NiRh structure. The functional is PBE.

Cell: 7.290 7.329 7.347 Å, 59.50 60.22 89.91°
Positions (direct):
In (0.747, 0.256, 0.948)
In (0.744, 0.695, 0.509)
In (0.696, 0.743, 0.052)
In (0.304, 0.257, 0.948)
In (0.253, 0.744, 0.052)
In (0.256, 0.305, 0.491)
Ni (0.500, 0.500, 0.000)
Rh (0.000, 0.000, 0.000)
Ba (0.776, 0.222, 0.451)
Ba (0.224, 0.778, 0.549)

Properties
- Energy of formation from the pure elements: -3.59 eV/f.u.
- Symmetry: P-1, No. 2
- Total moment: 0.00 μB per formula unit
- Crystal system: triclinic

---

Entry 4:
This record from Alexandria describes a geometry-optimized BaIn2NiSb structure. The functional is PBE.

Cell: 5.048 5.048 5.495 Å, 90.00 90.00 90.00°
Positions (direct):
In (0.500, 0.000, 0.000)
In (0.000, 0.500, 0.000)
Ba (0.500, 0.500, 0.500)
Ni (0.000, 0.000, 0.000)
Sb (0.000, 0.000, 0.500)

Properties
- Symmetry: P4/mmm, No. 123
- Total moment: 0.00 μB per formula unit
- Raw formation energy: -0.299 eV/atom
- Crystal system: tetragonal

---

Entry 5:
This record from Alexandria describes a geometry-optimized BaSc2InNi structure. The functional is PBE.

Cell: 5.109 5.125 5.109 Å, 90.00 90.00 90.00°
Positions (direct):
Ni (0.000, 0.000, 0.000)
Sc (0.500, 0.000, 0.000)
Sc (0.000, 0.000, 0.500)
Ba (0.500, 0.500, 0.500)
In (0.000, 0.500, 0.000)

Properties
- Energy of formation from the pure elements: -0.42 eV/f.u.
- Symmetry: P4/mmm, No. 123
- Total moment: 0.00 μB per formula unit
- Crystal system: tetragonal

---

Entry 6:
This record from Alexandria describes a geometry-optimized BaInNiSn2 structure. The functional is PBE.

Cell: 5.173 5.173 5.126 Å, 90.00 90.00 90.00°
Positions (direct):
In (0.000, 0.000, 0.500)
Sn (0.500, 0.000, 0.000)
Sn (0.000, 0.500, 0.000)
Ba (0.500, 0.500, 0.500)
Ni (0.000, 0.000, 0.000)

Properties
- Energy of formation from the pure elements: -1.25 eV/f.u.
- Symmetry: P4/mmm, No. 123
- Total moment: 0.00 μB per formula unit
- Crystal system: tetragonal